1.
A plane-wave DFT calculation with PBE-GGA was carried out for a relaxed AcSmEr crystal.

Summary:
E_form	89	meV per atom
DOS at the Fermi energy	19.7	states/eV per cell
total energy	-4.37	eV per atom
space-group type	Pnma (62)

a = 12.2040 Å, b = 5.8584 Å, c = 6.1213 Å
α = 90.00°, β = 90.00°, γ = 90.00°
Last column: nearest neighbours and their distance in Å.
Atoms (fractional coordinates):
Ac: 0.2492 0.2500 0.0031  4 Sm 3.51-3.86, 4 Er 3.54-3.87
Ac: 0.2508 0.7500 0.5031  4 Sm 3.51-3.86, 4 Er 3.54-3.87
Ac: 0.7492 0.2500 0.4969  4 Sm 3.51-3.86, 4 Er 3.54-3.87
Ac: 0.7508 0.7500 0.9969  4 Sm 3.51-3.86, 4 Er 3.54-3.87
Sm: 0.0645 0.2500 0.4419  2 Sm 3.40, 4 Er 3.45-3.76, 3 Ac 3.51-3.73
Sm: 0.4355 0.7500 0.9419  2 Sm 3.40, 4 Er 3.45-3.76, 3 Ac 3.51-3.73
Sm: 0.5645 0.2500 0.0581  2 Sm 3.40, 4 Er 3.45-3.76, 3 Ac 3.51-3.73
Sm: 0.9355 0.7500 0.5581  2 Sm 3.40, 4 Er 3.45-3.76, 3 Ac 3.51-3.73
Er: 0.0661 0.7500 0.0579  2 Er 3.42, 4 Sm 3.45-3.76, 3 Ac 3.54-3.70
Er: 0.4339 0.2500 0.5579  2 Er 3.42, 4 Sm 3.45-3.76, 3 Ac 3.54-3.70
Er: 0.5661 0.7500 0.4421  2 Er 3.42, 4 Sm 3.45-3.76, 3 Ac 3.54-3.70
Er: 0.9339 0.2500 0.9421  2 Er 3.42, 4 Sm 3.45-3.76, 3 Ac 3.54-3.70

=====

2.
A plane-wave DFT calculation with PBE-GGA was carried out for a relaxed Ac8Sm2Er crystal.

Summary:
E_form	44	meV per atom
DOS at the Fermi energy	19.1	states/eV per cell
total energy	-4.22	eV per atom
space-group type	C2/m (12)

a = 10.2198 Å, b = 10.2198 Å, c = 8.6814 Å
α = 104.83°, β = 104.83°, γ = 31.46°
Last column: nearest neighbours and their distance in Å.
Atoms (fractional coordinates):
Ac: 0.0469 0.0469 0.2298  1 Sm 3.84, 9 Ac 3.87-3.94, 2 Er 3.90
Ac: 0.1377 0.1377 0.6880  3 Sm 3.79-3.88, 7 Ac 3.84-3.90, 2 Er 3.92
Ac: 0.3188 0.3188 0.5856  1 Er 3.83, 3 Sm 3.87-3.95, 8 Ac 3.87-3.93
Ac: 0.4067 0.4067 0.0488  3 Sm 3.81-3.85, 8 Ac 3.84-3.98, 1 Er 3.86
Ac: 0.5933 0.5933 0.9512  3 Sm 3.81-3.85, 8 Ac 3.84-3.98, 1 Er 3.86
Ac: 0.6812 0.6812 0.4144  1 Er 3.83, 3 Sm 3.87-3.95, 8 Ac 3.87-3.93
Ac: 0.8623 0.8623 0.3120  3 Sm 3.79-3.88, 7 Ac 3.84-3.90, 2 Er 3.92
Ac: 0.9531 0.9531 0.7702  1 Sm 3.84, 9 Ac 3.87-3.94, 2 Er 3.90
Sm: 0.2261 0.2261 0.1330  10 Ac 3.79-3.95, 2 Sm 3.88
Sm: 0.7739 0.7739 0.8670  10 Ac 3.79-3.95, 2 Sm 3.88
Er: 0.5000 0.5000 0.5000  12 Ac 3.83-3.92